Density functional theory data (PBE-GGA) for a relaxed structure of LiTlCd2As.

Cell and atoms, written as CIF:
```
data_LiTlCd2As
_chemical_formula_sum 'Li1 Tl1 Cd2 As1'
_cell_length_a 5.3364
_cell_length_b 5.3364
_cell_length_c 5.9364
_cell_angle_alpha 90.00
_cell_angle_beta 90.00
_cell_angle_gamma 90.00
_space_group_name_H-M_alt 'P 4/m m m'
_space_group_IT_number 123
_space_group_name_Hall '-P 4 2'
loop_
_atom_site_label
_atom_site_fract_x
_atom_site_fract_y
_atom_site_fract_z
_atom_site_occupancy
Li1 0.0000 0.0000 0.0000 1
Tl1 0.5000 0.5000 0.0000 1
Cd1 0.0000 0.5000 0.5000 1
As1 0.5000 0.5000 0.5000 1
```

Computed properties:
The calculation puts the total moment at 0.00 μB/cell. The calculation puts the total energy at -1.8503 eV/atom. The value obtained for the formation energy is 0.302 eV per atom.